Entry 1:
# ScSi2Ni2 (meta-GGA SCAN, single point on PBEsol structure)
# V in Å³/atom: 13.53
# Formation energy without anion corrections in eV/atom: -0.8223
# M_tot in μB/f.u.: 0.00
data_ScSi2Ni2
_cell_length_a 3.7646
_cell_length_b 3.7646
_cell_length_c 9.5479
_cell_angle_alpha 90.00
_cell_angle_beta 90.00
_cell_angle_gamma 90.00
_space_group_name_H-M_alt 'I 4/m m m'
_space_group_IT_number 139
_space_group_name_Hall '-I 4 2'
loop_
_atom_site_label
_atom_site_type_symbol
_atom_site_fract_x
_atom_site_fract_y
_atom_site_fract_z
Sc1 Sc 0.0000 0.0000 0.0000
Si1 Si 0.0000 0.0000 0.3793
Ni1 Ni 0.0000 0.5000 0.2500


Entry 2:
# ScSiNi2 (meta-GGA SCAN, single point on PBEsol structure)
# V in Å³/atom: 13.57
# Formation energy without anion corrections in eV/atom: -0.4398
# M_tot in μB/f.u.: 0.00
data_ScSiNi2
_cell_length_a 3.0829
_cell_length_b 4.0707
_cell_length_c 4.4975
_cell_angle_alpha 90.00
_cell_angle_beta 105.84
_cell_angle_gamma 90.00
_space_group_name_H-M_alt 'P 1 m 1'
_space_group_IT_number 6
_space_group_name_Hall 'P -2y'
loop_
_atom_site_label
_atom_site_type_symbol
_atom_site_fract_x
_atom_site_fract_y
_atom_site_fract_z
Sc1 Sc 0.0000 0.0000 0.0000
Si1 Si 0.5981 0.5000 0.2567
Ni1 Ni 0.2836 0.5000 0.6793
Ni2 Ni 0.6477 0.0000 0.4731